A plane-wave DFT calculation with GGA+U was carried out for a geometry-optimized TiMoAu2O structure.

Uncorrected energy ... -4.96 eV per atom
Symmetry ... No. 123

Lattice parameters (Å, degrees): 4.604 4.192 4.604 90.00 90.00 90.00
Last column: magnetic moment on the atom in μB.
Fractional positions:
Au 0.500 0.000 0.000  -0.05
Ti 0.500 0.500 0.500  -1.52
O 0.000 0.000 0.000  0.03
Au 0.000 0.000 0.500  -0.03
Mo 0.000 0.500 0.000  3.01